# 1
Below is crystalline KMnSeN2 at its relaxed geometry, with properties calculated at the GGA-PBE level. Values from VASP.

```
&SYSTEM
  ibrav = 0, nat = 5, ntyp = 4
/
ATOMIC_SPECIES
K 39.10 K.upf
Mn 54.94 Mn.upf
Se 78.96 Se.upf
N 14.01 N.upf
CELL_PARAMETERS angstrom
3.855 0.000 0.000
0.000 3.855 0.000
0.000 0.000 5.104
ATOMIC_POSITIONS crystal
K 0.000 0.000 0.000
Mn 0.500 0.500 0.500
Se 0.500 0.500 0.000
N 0.000 0.500 0.500
N 0.500 0.000 0.500
```

Properties
**Total DFT energy (no corrections)**: -27.3 eV/cell
**Density of states at the Fermi level**: 6.3 states/eV per cell
**Space-group type**: P4/mmm
**ΔE to the lowest computed polymorph**: 0 meV/atom

# 2
Below is crystalline RbReSi3 at its relaxed geometry, with properties calculated at the GGA-PBE level. Values from VASP.

```
&SYSTEM
  ibrav = 0, nat = 5, ntyp = 3
/
ATOMIC_SPECIES
Rb 85.47 Rb.upf
Re 186.21 Re.upf
Si 28.09 Si.upf
CELL_PARAMETERS angstrom
4.885 0.000 0.000
0.000 4.885 0.000
0.000 0.000 4.885
ATOMIC_POSITIONS crystal
Rb 0.000 0.000 0.000
Re 0.500 0.500 0.500
Si 0.000 0.000 0.500
Si 0.000 0.500 0.000
Si 0.500 0.000 0.000
```

Properties
**Total DFT energy (no corrections)**: -13.2 eV/cell
**Density of states at the Fermi level**: 12.0 states/eV per cell
**Space-group type**: Pm-3m
**ΔE to the lowest computed polymorph**: 2983 meV/atom

# 3
Below is crystalline PmTm2ScSb4 at its relaxed geometry, with properties calculated at the GGA-PBE level. Values from VASP.

```
&SYSTEM
  ibrav = 0, nat = 8, ntyp = 4
/
ATOMIC_SPECIES
Pm 145.00 Pm.upf
Tm 168.93 Tm.upf
Sc 44.96 Sc.upf
Sb 121.76 Sb.upf
CELL_PARAMETERS angstrom
0.000 6.122 4.348
4.347 0.000 4.348
4.347 6.122 0.000
ATOMIC_POSITIONS crystal
Pm 0.000 0.000 0.000
Tm 0.251 0.251 0.249
Tm 0.751 0.751 0.749
Sc 0.501 0.501 0.499
Sb 0.001 0.500 0.999
Sb 0.259 0.743 0.257
Sb 0.500 0.001 0.500
Sb 0.743 0.259 0.741
```

Properties
**Total DFT energy (no corrections)**: -44.9 eV/cell
**Density of states at the Fermi level**: 1.2 states/eV per cell
**Space-group type**: Fmm2